a:
A plane-wave DFT calculation with PBE-GGA was carried out for a geometry-optimized NbRhC2 structure.

```
NbRhC2
1.0
-0.285 -3.401 1.886
-2.871 -2.487 -0.886
0.811 -3.333 -1.856
Nb Rh C
1 1 2
direct
0.000 0.000 0.000
0.500 0.500 0.500
0.250 0.250 0.250
0.750 0.750 0.750
```

Properties
- Spin magnetization: 0.00 μB/atom
- Theoretical density: 8.70 g cm⁻³

=====

b:
A plane-wave DFT calculation with PBE-GGA was carried out for a geometry-optimized NbRhC2 structure.

```
NbRhC2
1.0
-1.077 -2.122 -4.014
-1.959 -3.504 2.378
-5.791 -0.482 -0.904
Nb Rh C
2 2 4
direct
0.500 0.500 0.000
0.250 0.750 0.500
0.000 0.000 0.000
0.750 0.250 0.500
0.643 0.125 0.250
0.107 0.625 0.250
0.375 0.357 0.750
0.875 0.893 0.750
```

Properties
- Spin magnetization: 0.00 μB/atom
- Theoretical density: 6.89 g cm⁻³

=====

Most stable structure - b; separation to the second - 43.4 kJ/mol of atoms.

=====

a:
A plane-wave DFT calculation with PBE-GGA was carried out for a geometry-optimized Nb3RhC structure.

```
Nb3RhC
1.0
4.786 0.000 0.000
0.000 4.786 0.000
0.000 0.000 4.786
Nb Rh C
3 1 1
direct
0.000 0.500 0.000
0.000 0.000 0.500
0.500 0.000 0.000
0.000 0.000 0.000
0.500 0.500 0.500
```

Properties
- Spin magnetization: 0.00 μB/atom
- Theoretical density: 5.96 g cm⁻³

=====

b:
A plane-wave DFT calculation with PBE-GGA was carried out for a geometry-optimized Nb3RhC structure.

```
Nb3RhC
1.0
-1.242 2.723 -3.052
-4.088 -0.709 1.031
0.150 3.218 2.810
Nb Rh C
3 1 1
direct
0.000 0.500 0.000
0.000 0.000 0.500
0.500 0.000 0.000
0.500 0.500 0.500
0.000 0.000 0.000
```

Properties
- Spin magnetization: 0.00 μB/atom
- Theoretical density: 8.37 g cm⁻³

=====

c:
A plane-wave DFT calculation with PBE-GGA was carried out for a geometry-optimized Nb3RhC structure.

```
Nb3RhC
1.0
3.127 0.000 0.000
-1.561 5.589 0.000
0.000 0.000 8.702
Nb Rh C
6 2 2
direct
0.871 0.742 0.550
0.129 0.258 0.450
0.129 0.258 0.050
0.871 0.742 0.950
0.455 0.912 0.250
0.545 0.088 0.750
0.757 0.512 0.250
0.243 0.488 0.750
0.500 0.000 0.000
0.500 0.000 0.500
```

Properties
- Spin magnetization: 0.00 μB/atom
- Theoretical density: 8.59 g cm⁻³

=====

Most stable structure - c; separation to the second - 17.9 kJ/mol of atoms.

=====

a:
A plane-wave DFT calculation with PBE-GGA was carried out for a geometry-optimized Ti2NbRhC structure.

```
Ti2NbRhC
1.0
-3.488 -1.502 -2.915
2.658 -3.488 -1.382
-1.760 -2.733 3.514
Nb Rh C Ti
1 1 1 2
direct
0.000 0.000 0.000
0.000 0.500 0.000
0.500 0.500 0.500
0.000 0.000 0.500
0.500 0.000 0.000
```

Properties
- Spin magnetization: 0.00 μB/atom
- Theoretical density: 4.78 g cm⁻³

=====

b:
A plane-wave DFT calculation with PBE-GGA was carried out for a geometry-optimized Ti2NbRhC structure.

```
Ti2NbRhC
1.0
-1.094 2.919 -2.713
-3.167 1.072 2.430
2.519 2.834 2.033
Nb Rh C Ti
1 1 1 2
direct
0.000 0.000 0.500
0.500 0.500 0.500
0.000 0.000 0.000
0.000 0.500 0.000
0.500 0.000 0.000
```

Properties
- Spin magnetization: 0.00 μB/atom
- Theoretical density: 6.86 g cm⁻³

=====

Most stable structure - b; separation to the second - 251.0 kJ/mol of atoms.

=====

a:
A plane-wave DFT calculation with PBE-GGA was carried out for a geometry-optimized NbRuC3 structure.

```
NbRuC3
1.0
4.091 0.000 0.000
0.000 4.091 0.000
0.000 0.000 4.091
Ru Nb C
1 1 3
direct
0.500 0.500 0.500
0.000 0.000 0.000
0.000 0.500 0.000
0.000 0.000 0.500
0.500 0.000 0.000
```

Properties
- Spin magnetization: 0.00 μB/atom
- Theoretical density: 5.58 g cm⁻³

=====

b:
A plane-wave DFT calculation with PBE-GGA was carried out for a geometry-optimized NbRuC3 structure.

```
NbRuC3
1.0
3.908 0.000 0.000
0.000 3.908 0.000
0.000 0.000 3.908
Ru Nb C
1 1 3
direct
0.000 0.000 0.000
0.500 0.500 0.500
0.000 0.500 0.000
0.000 0.000 0.500
0.500 0.000 0.000
```

Properties
- Spin magnetization: 0.00 μB/atom
- Theoretical density: 6.40 g cm⁻³

=====

Most stable structure - b; separation to the second - 46.6 kJ/mol of atoms.

=====

a:
A plane-wave DFT calculation with PBE-GGA was carried out for a geometry-optimized NbCS3 structure.

```
NbCS3
1.0
-0.824 -0.463 -3.976
-1.611 -3.678 0.762
-3.664 1.721 0.559
Nb C S
1 1 3
direct
0.500 0.500 0.500
0.000 0.000 0.000
0.000 0.500 0.000
0.000 0.000 0.500
0.500 0.000 0.000
```

Properties
- Spin magnetization: 0.21 μB/atom
- Theoretical density: 4.89 g cm⁻³

=====

b:
A plane-wave DFT calculation with PBE-GGA was carried out for a geometry-optimized NbCS3 structure.

```
NbCS3
1.0
4.794 0.000 0.000
0.000 4.794 0.000
0.000 0.000 4.794
C Nb S
1 1 3
direct
0.500 0.500 0.500
0.000 0.000 0.000
0.000 0.500 0.000
0.000 0.000 0.500
0.500 0.000 0.000
```

Properties
- Spin magnetization: 0.21 μB/atom
- Theoretical density: 3.03 g cm⁻³

=====

Most stable structure - a; separation to the second - 28.6 kJ/mol of atoms.

=====

a:
A plane-wave DFT calculation with PBE-GGA was carried out for a geometry-optimized Nb3CS structure.

```
Nb3CS
1.0
-0.870 -1.169 -2.745
4.995 -5.070 0.577
-5.601 -2.673 4.673
Nb C S
6 2 2
direct
0.001 0.806 0.002
0.999 0.194 0.998
0.329 0.886 0.659
0.671 0.114 0.341
0.165 0.488 0.329
0.835 0.512 0.671
0.581 0.345 0.162
0.419 0.655 0.838
0.837 0.163 0.673
0.163 0.837 0.327
```

Properties
- Spin magnetization: 0.00 μB/atom
- Theoretical density: 6.50 g cm⁻³

=====

b:
A plane-wave DFT calculation with PBE-GGA was carried out for a geometry-optimized Nb3CS structure.

```
Nb3CS
1.0
4.290 0.000 0.000
0.000 4.290 0.000
0.000 0.000 4.290
C Nb S
1 3 1
direct
0.000 0.000 0.000
0.000 0.500 0.000
0.000 0.000 0.500
0.500 0.000 0.000
0.500 0.500 0.500
```

Properties
- Spin magnetization: 0.00 μB/atom
- Theoretical density: 6.79 g cm⁻³

=====

Most stable structure - a; separation to the second - 52.0 kJ/mol of atoms.